# Y2Si2Rh5Pb PBE optimized geometry
# uncorrected formation energy: -0.870 eV/atom
data_Y2Si2Rh5Pb
_chemical_formula_sum 'Y4 Si4 Rh10 Pb2'
_cell_length_a 9.868
_cell_length_b 9.868
_cell_length_c 3.568
_cell_angle_alpha 90.00
_cell_angle_beta 90.00
_cell_angle_gamma 90.00
_symmetry_space_group_name_H-M 'P 4/m b m'
_symmetry_Int_Tables_number 127
_symmetry_space_group_name_Hall '-P 4 2ab'
loop_
_atom_site_label
_atom_site_type_symbol
_atom_site_fract_x
_atom_site_fract_y
_atom_site_fract_z
Y1 Y 0.176 0.324 0.000
Si1 Si 0.120 0.620 0.000
Rh1 Rh 0.000 0.500 0.500
Rh2 Rh 0.070 0.779 0.500
Pb1 Pb 0.000 0.000 0.000